(1)
Tm7Hg2Bi2 (PBE-GGA, optimized geometry); energy of formation = -0.16 eV per atom
1.0
-0.9838 -6.8263 -1.8848
5.6725 0.2909 -4.0142
4.1183 -1.1035 5.7394
Tm Hg Bi
7 2 2
Cartesian
5.0583 -4.4432 3.7836 Tm
5.8374 -3.7459 -1.0946 Tm
5.3158 -7.1605 -2.0160 Tm
3.7486 -3.1957 -3.9432 Tm
3.4911 -0.4784 1.8564 Tm
0.0000 0.0000 0.0000 Tm
2.9695 -3.8930 0.9350 Tm
0.4262 -5.2448 0.2221 Hg
8.3807 -2.3941 -0.3817 Hg
3.4658 -1.4472 -1.2329 Bi
5.3411 -6.1917 1.0733 Bi

=====

(2)
LiSb2Pt (PBE-GGA, optimized geometry); ΔE to the lowest computed polymorph = 0.2480 eV/atom; formation energy without anion corrections = -112.3 kJ/mol of formula units
1.0
-1.6211 0.7146 3.9438
2.8090 -0.6324 1.2692
1.6117 6.1661 -0.4548
Pt Li Sb
1 1 2
Cartesian
2.5049 4.5076 2.5827 Pt
0.2946 1.7407 2.1755 Li
2.1139 -0.4675 0.9536 Sb
2.9054 2.6019 0.7228 Sb

=====

Listing DOS at the Fermi energy for the structures above in their given order: 11.37; 1.88 states/eV/cell.
Listing total moment for the structures above in their given order: 0.0; 0.0 μB/f.u..